# 1
YGaHg3: optimized geometry, PBE.

Computed properties:
ΔE to the lowest computed polymorph: 0.0000 eV/atom
Crystal system: cubic
Formation enthalpy at 0 K: 0.1119 eV per atom

a = 5.1204 Å, b = 5.1204 Å, c = 5.1204 Å
α = 90.00°, β = 90.00°, γ = 90.00°
Space group Pm-3m (No. 221)
Inequivalent atoms, fractional coordinates:
Y 0.0000 0.0000 0.0000 [1 per cell]
Ga 0.5000 0.5000 0.5000 [1 per cell]
Hg 0.0000 0.5000 0.5000 [3 per cell]



# 2
TcSeOF2: optimized geometry, PBE.

Computed properties:
ΔE to the lowest computed polymorph: 0.6547 eV/atom
Crystal system: tetragonal

a = 4.6315 Å, b = 4.6315 Å, c = 3.7631 Å
α = 90.00°, β = 90.00°, γ = 90.00°
Space group P4/mmm (No. 123)
Inequivalent atoms, fractional coordinates:
Tc 0.0000 0.0000 0.0000 [1 per cell]
Se 0.5000 0.5000 0.5000 [1 per cell]
O 0.5000 0.5000 0.0000 [1 per cell]
F 0.0000 0.5000 0.5000 [2 per cell]



# 3
LiNi5Ge6: optimized geometry, PBE.

Computed properties:
Crystal system: monoclinic
Formation enthalpy at 0 K: -0.1392 eV per atom

a = 5.1880 Å, b = 10.6675 Å, c = 6.7063 Å
α = 90.00°, β = 110.18°, γ = 90.00°
Space group C2/m (No. 12)
Inequivalent atoms, fractional coordinates:
Li 0.0000 0.0000 0.0000 [2 per cell]
Ni 0.0000 0.1174 0.5000 [4 per cell]
Ni 0.0000 0.3069 0.0000 [4 per cell]
Ni 0.0000 0.5000 0.5000 [2 per cell]
Ge 0.1560 0.5000 0.2112 [4 per cell]
Ge 0.1988 0.3096 0.7022 [8 per cell]



# 4
FeAs: optimized geometry, PBE.

Computed properties:
Crystal system: orthorhombic
Formation enthalpy at 0 K: 0.1105 eV per atom

a = 3.4008 Å, b = 4.2521 Å, c = 9.1960 Å
α = 90.00°, β = 90.00°, γ = 90.00°
Space group Cmme (No. 67)
Inequivalent atoms, fractional coordinates:
Fe 0.0000 0.2500 0.0990 [4 per cell]
As 0.0000 0.2500 0.7008 [4 per cell]



# 5
Ho2InPt: optimized geometry, PBE.

Computed properties:
ΔE to the lowest computed polymorph: 0.1031 eV/atom
Crystal system: cubic
Formation enthalpy at 0 K: -0.7611 eV per atom

a = 7.2215 Å, b = 7.2215 Å, c = 7.2215 Å
α = 90.00°, β = 90.00°, γ = 90.00°
Space group Fm-3m (No. 225)
Inequivalent atoms, fractional coordinates:
Ho 0.2500 0.2500 0.2500 [8 per cell]
In 0.0000 0.0000 0.0000 [4 per cell]
Pt 0.0000 0.0000 0.5000 [4 per cell]



# 6
LiMnNi2: optimized geometry, PBE.

Computed properties:
Crystal system: monoclinic
Formation enthalpy at 0 K: 0.0369 eV per atom

a = 9.0203 Å, b = 2.6859 Å, c = 4.2293 Å
α = 90.00°, β = 111.63°, γ = 90.00°
Space group Cm (No. 8)
Inequivalent atoms, fractional coordinates:
Li 0.0000 0.0000 0.0000 [2 per cell]
Mn 0.2706 0.5000 0.3696 [2 per cell]
Ni 0.0171 0.5000 0.5069 [2 per cell]
Ni 0.2511 0.0000 0.8595 [2 per cell]



# 7
SrNi2Hg: optimized geometry, PBE.

Computed properties:
Crystal system: monoclinic
Formation enthalpy at 0 K: 0.2082 eV per atom

a = 3.4188 Å, b = 3.5607 Å, c = 6.5224 Å
α = 90.00°, β = 90.07°, γ = 90.00°
Space group P2/m (No. 10)
Inequivalent atoms, fractional coordinates:
Sr 0.0000 0.0000 0.0000 [1 per cell]
Ni 0.4999 0.5000 0.3130 [2 per cell]
Hg 0.0000 0.0000 0.5000 [1 per cell]



# 8
ScSeS: optimized geometry, PBE.

Computed properties:
ΔE to the lowest computed polymorph: 0.3468 eV/atom
Crystal system: tetragonal

a = 3.4265 Å, b = 3.4265 Å, c = 9.8486 Å
α = 90.00°, β = 90.00°, γ = 90.00°
Space group I4mm (No. 107)
Inequivalent atoms, fractional coordinates:
Sc 0.0000 0.0000 0.0000 [2 per cell]
Se 0.0000 0.0000 0.6665 [2 per cell]
S 0.0000 0.0000 0.3900 [2 per cell]



# 9
Al4Fe3Si2: optimized geometry, PBE.

Computed properties:
Electronic total energy: -5.960 eV per atom
Crystal system: orthorhombic

a = 3.6984 Å, b = 12.5874 Å, c = 10.1558 Å
α = 90.00°, β = 90.00°, γ = 90.00°
Space group Cmcm (No. 63)
Inequivalent atoms, fractional coordinates:
Al 0.0000 0.0412 0.2500 [4 per cell]
Al 0.0000 0.1791 0.5198 [8 per cell]
Al 0.0000 0.2407 0.2500 [4 per cell]
Fe 0.0000 0.1413 0.7500 [4 per cell]
Fe 0.0000 0.3643 0.6265 [8 per cell]
Si 0.0000 0.4416 0.1065 [8 per cell]



# 10
MnPdPt2Rh: optimized geometry, PBE.

Computed properties:
Crystal system: tetragonal
Formation enthalpy at 0 K: 1.7786 eV per atom

a = 4.7761 Å, b = 4.7761 Å, c = 4.7444 Å
α = 90.00°, β = 90.00°, γ = 90.00°
Space group P4/mmm (No. 123)
Inequivalent atoms, fractional coordinates:
Mn 0.0000 0.0000 0.0000 [1 per cell]
Pd 0.5000 0.5000 0.0000 [1 per cell]
Pt 0.0000 0.5000 0.5000 [2 per cell]
Rh 0.5000 0.5000 0.5000 [1 per cell]



# 11
Zn2Ga4Ag: optimized geometry, PBE.

Computed properties:
ΔE to the lowest computed polymorph: 0.0641 eV/atom
Crystal system: cubic
Formation enthalpy at 0 K: 0.1025 eV per atom

a = 12.8968 Å, b = 12.8968 Å, c = 12.8968 Å
α = 90.00°, β = 90.00°, γ = 90.00°
Space group Fd-3m (No. 227, origin choice 2)
Inequivalent atoms, fractional coordinates:
Zn 0.0409 0.0409 0.2091 [32 per cell]
Ga 0.0000 0.0000 0.0000 [16 per cell]
Ga 0.1046 0.3750 0.8750 [48 per cell]
Ag 0.0000 0.0000 0.5000 [16 per cell]



| no. | total moment (μB per formula unit) |
| --- | --- |
| 1 | 0.00 |
| 2 | 4.68 |
| 3 | 0.00 |
| 4 | 2.57 |
| 5 | 0.00 |
| 6 | 4.45 |
| 7 | 0.00 |
| 8 | 0.00 |
| 9 | 0.00 |
| 10 | 2.28 |
| 11 | 0.00 |